1.
Tc2SbRh (GGA-PBE, relaxed); raw formation energy = 43 kJ/mol of formula units; E = -7.941 eV per atom
1.0
3.971 0.000 0.000
0.000 3.971 0.000
0.000 0.000 7.990
Tc Sb Rh
4 2 2
Cartesian
0.000 1.985 1.997
0.000 1.985 5.992
1.985 0.000 1.997
1.985 0.000 5.992
0.000 0.000 0.000
1.985 1.985 3.995
0.000 0.000 3.995
1.985 1.985 0.000

2.
Tc4SbRh (GGA-PBE, relaxed); raw formation energy = 269 kJ/mol of formula units; E = -8.359 eV per atom
1.0
0.000 3.652 3.652
3.652 0.000 3.652
3.652 3.652 0.000
Tc Sb Rh
4 1 1
Cartesian
0.900 0.900 0.900
2.752 2.752 0.900
2.752 0.900 2.752
0.900 2.752 2.752
3.652 3.652 3.652
5.478 5.478 5.478

3.
TcSb3Rh (GGA-PBE, relaxed); E above lowest polymorph = 0.1132 eV per atom; raw formation energy = 442 kJ/mol of formula units; E = -5.102 eV per atom
1.0
5.095 0.000 0.000
0.000 5.095 0.000
0.000 0.000 5.095
Tc Sb Rh
1 3 1
Cartesian
0.000 0.000 0.000
0.000 2.547 2.547
2.547 0.000 2.547
2.547 2.547 0.000
2.547 2.547 2.547

4.
Tc2SbRh (GGA-PBE, relaxed); raw formation energy = 43 kJ/mol of formula units; E = -7.940 eV per atom
1.0
2.969 0.000 0.000
0.000 2.969 0.000
0.000 0.000 7.322
Tc Sb Rh
2 1 1
Cartesian
0.000 0.000 0.000
1.485 1.485 1.599
1.485 1.485 5.317
0.000 0.000 3.484

5.
Tc2SbRh (GGA-PBE, relaxed); raw formation energy = 91 kJ/mol of formula units; E = -7.817 eV per atom
1.0
5.255 0.000 0.000
0.000 8.197 0.000
0.000 0.000 2.983
Tc Sb Rh
4 2 2
Cartesian
1.314 2.049 0.000
1.314 6.147 0.000
3.941 2.049 0.000
3.941 6.147 0.000
0.000 0.000 1.491
2.627 4.098 1.491
0.000 4.098 1.491
2.627 0.000 1.491

6.
Tc2SbRh (GGA-PBE, relaxed); raw formation energy = 136 kJ/mol of formula units; E = -7.700 eV per atom
1.0
2.945 0.000 0.000
-1.472 2.550 0.000
0.000 0.000 25.849
Tc Sb Rh
6 3 3
Cartesian
0.000 0.000 6.424
0.000 0.000 19.425
0.000 1.700 10.809
0.000 1.700 23.656
1.472 0.850 2.192
1.472 0.850 15.040
0.000 0.000 0.000
0.000 1.700 17.233
1.472 0.850 8.616
0.000 0.000 12.924
0.000 1.700 4.308
1.472 0.850 21.541